BeCr3Ru: relaxed, GGA-PBE.

Cell and atoms, written as CIF:
```
data_BeCr3Ru
_cell_length_a 4.596
_cell_length_b 4.596
_cell_length_c 4.596
_cell_angle_alpha 90.00
_cell_angle_beta 90.00
_cell_angle_gamma 90.00
_symmetry_space_group_name_H-M 'P m -3 m'
_symmetry_Int_Tables_number 221
_symmetry_space_group_name_Hall '-P 4 2 3'
loop_
_atom_site_label
_atom_site_type_symbol
_atom_site_fract_x
_atom_site_fract_y
_atom_site_fract_z
Be1 Be 0.000 0.000 0.000
Cr1 Cr 0.000 0.500 0.500
Ru1 Ru 0.500 0.500 0.500
```

Output
The calculation puts the theoretical density at 4.550 g cm⁻³. The polymorph energy (0 for the lowest one) is 0.7919 eV/atom. For the total energy, the calculation gives -34.0 eV/cell.